DFT (PBE) results for an optimized crystal structure of Cs4Dy3HoSe8.

Properties
Total energy (eV/atom): -4.831
Space group: No. 166
DOS at the Fermi energy (states/eV/f.u.): 0.00

abc: 9.7125 9.7125 9.7125
angles: 52.06 52.06 52.06
Last column: nearest neighbours and their distance in Å.
Element x y z (fractional)
Cs (0.0000, 0.0000, 0.0000)  6 Se 3.61
Cs (0.0000, 0.5000, 0.5000)  6 Se 3.60
Cs (0.5000, 0.0000, 0.5000)  6 Se 3.60
Cs (0.5000, 0.5000, 0.0000)  6 Se 3.60
Dy (0.0000, 0.0000, 0.5000)  6 Se 2.91
Dy (0.0000, 0.5000, 0.0000)  6 Se 2.91
Dy (0.5000, 0.0000, 0.0000)  6 Se 2.91
Ho (0.5000, 0.5000, 0.5000)  6 Se 2.90
Se (0.2285, 0.2285, 0.2285)  3 Dy 2.91
Se (0.2293, 0.7279, 0.7279)  1 Ho 2.90, 2 Dy 2.91
Se (0.2721, 0.2721, 0.7707)  1 Ho 2.90, 2 Dy 2.91
Se (0.2721, 0.7707, 0.2721)  1 Ho 2.90, 2 Dy 2.91
Se (0.7279, 0.2293, 0.7279)  1 Ho 2.90, 2 Dy 2.91
Se (0.7279, 0.7279, 0.2293)  1 Ho 2.90, 2 Dy 2.91
Se (0.7707, 0.2721, 0.2721)  1 Ho 2.90, 2 Dy 2.91
Se (0.7715, 0.7715, 0.7715)  3 Dy 2.91

DFT (PBE) results for an optimized crystal structure of GaGe2Ir2.

Properties
Offset from the most stable computed form (eV/f.u.): 0.00
Total energy (eV/atom): -6.223
Space group: No. 15
Energy of formation (eV per atom): -0.2263
DOS at the Fermi energy (states/eV/f.u.): 2.00

abc: 6.2292 6.2292 4.9842
angles: 108.86 108.86 82.67
Last column: nearest neighbours and their distance in Å.
Element x y z (fractional)
Ga (0.1121, 0.8879, 0.7500)  4 Ir 2.53-2.59
Ga (0.8879, 0.1121, 0.2500)  4 Ir 2.53-2.59
Ge (0.1782, 0.3894, 0.9082)  4 Ir 2.47-2.58, 1 Ge 2.72
Ge (0.3894, 0.1782, 0.4082)  4 Ir 2.47-2.58, 1 Ge 2.72
Ge (0.6106, 0.8218, 0.5918)  4 Ir 2.47-2.58, 1 Ge 2.72
Ge (0.8218, 0.6106, 0.0918)  4 Ir 2.47-2.58, 1 Ge 2.72
Ir (0.1965, 0.8035, 0.2500)  4 Ge 2.54-2.58, 3 Ga 2.54-2.59
Ir (0.4193, 0.5807, 0.7500)  4 Ge 2.47-2.53, 1 Ga 2.53
Ir (0.5807, 0.4193, 0.2500)  4 Ge 2.47-2.53, 1 Ga 2.53
Ir (0.8035, 0.1965, 0.7500)  4 Ge 2.54-2.58, 3 Ga 2.54-2.59

DFT (PBE) results for an optimized crystal structure of ZrGaGe3.

Properties
Offset from the most stable computed form (eV/f.u.): 1.19
Total energy (eV/atom): -4.438
Space group: No. 221
Energy of formation (eV per atom): 0.6471
DOS at the Fermi energy (states/eV/f.u.): 4.70

abc: 4.8261 4.8261 4.8261
angles: 90.00 90.00 90.00
Last column: nearest neighbours and their distance in Å.
Element x y z (fractional)
Zr (0.0000, 0.0000, 0.0000)  12 Ge 3.41
Ga (0.5000, 0.5000, 0.5000)  6 Ge 2.41
Ge (0.0000, 0.5000, 0.5000)  2 Ga 2.41
Ge (0.5000, 0.0000, 0.5000)  2 Ga 2.41
Ge (0.5000, 0.5000, 0.0000)  2 Ga 2.41

DFT (PBE) results for an optimized crystal structure of PrMg3.

Properties
Total energy (eV/atom): -2.379
Space group: No. 71
Energy of formation (eV per atom): 0.0115
DOS at the Fermi energy (states/eV/f.u.): 3.08

abc: 6.5225 6.5225 6.5225
angles: 149.20 129.97 59.91
Last column: nearest neighbours and their distance in Å.
Element x y z (fractional)
Pr (0.0000, 0.0000, 0.0000)  8 Mg 3.26-3.51, 2 Pr 3.46
Mg (0.2698, 0.7698, 0.5000)  8 Mg 3.13-3.46
Mg (0.5000, 0.5000, 0.0000)  6 Mg 3.13-3.46, 4 Pr 3.26
Mg (0.7302, 0.2302, 0.5000)  8 Mg 3.13-3.46

DFT (PBE) results for an optimized crystal structure of Nd6GaRu2Br3.

Properties
Total energy (eV/atom): -5.427
Space group: No. 12
DOS at the Fermi energy (states/eV/f.u.): 7.74

abc: 7.2377 7.2377 8.1578
angles: 98.52 98.52 120.07
Last column: nearest neighbours and their distance in Å.
Element x y z (fractional)
Nd (0.0783, 0.4337, 0.7995)  2 Ru 2.81, 1 Ga 3.01
Nd (0.2124, 0.2124, 0.2013)  2 Ru 2.81, 1 Ga 3.01
Nd (0.4337, 0.0783, 0.7995)  2 Ru 2.81, 1 Ga 3.01
Nd (0.5663, 0.9217, 0.2005)  2 Ru 2.81, 1 Ga 3.01
Nd (0.7876, 0.7876, 0.7987)  2 Ru 2.81, 1 Ga 3.01
Nd (0.9217, 0.5663, 0.2005)  2 Ru 2.81, 1 Ga 3.01
Ga (0.5000, 0.5000, 0.0000)  6 Nd 3.01
Ru (0.1663, 0.8337, 0.0000)  6 Nd 2.81
Ru (0.8337, 0.1663, 0.0000)  6 Nd 2.81
Br (0.0000, 0.0000, 0.5000)  6 Nd 3.24-3.42
Br (0.3340, 0.6660, 0.5000)  6 Nd 3.25-3.41
Br (0.6660, 0.3340, 0.5000)  6 Nd 3.25-3.41

DFT (PBE) results for an optimized crystal structure of Pr2Tm3Mg3.

Properties
Total energy (eV/atom): -3.490
Space group: No. 160
Energy of formation (eV per atom): -0.0203
DOS at the Fermi energy (states/eV/f.u.): 8.79

abc: 9.5147 9.5147 9.5147
angles: 33.40 33.40 33.40
Last column: nearest neighbours and their distance in Å.
Element x y z (fractional)
Pr (0.0000, 0.0000, 0.0000)  7 Mg 3.35-3.42, 1 Tm 3.40
Pr (0.4979, 0.4979, 0.4979)  5 Mg 3.31-3.34, 3 Tm 3.36
Tm (0.2534, 0.2534, 0.2534)  5 Mg 3.26-3.40, 3 Tm 3.39
Tm (0.7467, 0.7467, 0.7467)  7 Mg 3.33-3.40, 1 Tm 3.42
Tm (0.8739, 0.8739, 0.8739)  4 Pr 3.36-3.40, 4 Tm 3.39-3.42
Mg (0.1271, 0.1271, 0.1271)  4 Pr 3.31-3.42, 4 Tm 3.40
Mg (0.3744, 0.3744, 0.3744)  4 Tm 3.26-3.33, 4 Pr 3.32-3.35
Mg (0.6218, 0.6218, 0.6218)  4 Tm 3.30-3.36, 4 Pr 3.34-3.38

Number 1: total magnetization 0.0 μB per cell. Number 2: total magnetization 0.0 μB per cell. Number 3: total magnetization 0.0 μB per cell. Number 4: total magnetization 0.0 μB per cell. Number 5: total magnetization 0.0 μB per cell. Number 6: total magnetization 0.0 μB per cell.